First-principles (PBE with a Hubbard U) data for a relaxed structure of KSrFeO3, as listed in Alexandria via LeMat-Bulk.

space group	C2/m
final energy	-5.686	eV per atom
Fermi-level density of states	0.409	states/eV per atom

POSCAR file:
```
KSrFeO3
1.0
6.729 -1.933 0.000
6.729 1.933 0.000
-2.122 0.000 7.400
K Sr Fe O
2 2 2 6
Direct
0.149 0.149 0.068
0.851 0.851 0.932
0.155 0.155 0.583
0.845 0.845 0.417
0.494 0.494 0.728
0.506 0.506 0.272
0.006 0.006 0.287
0.349 0.349 0.649
0.362 0.362 0.206
0.638 0.638 0.794
0.651 0.651 0.351
0.994 0.994 0.713
```